Here is SrTa2O4 after structural relaxation from OQMD via LeMat-Bulk. Energies are from GGA-PBE.

The space group is Fd-3m (No. 227, origin choice 2) and the conventional cell measures 9.242, 9.242 and 9.242 Å, with angles of 90.00, 90.00 and 90.00 degrees. The distinct sites, in fractional coordinates, are Sr at (0.125, 0.125, 0.125), Ta at (0.000, 0.000, 0.500) and O at (0.019, 0.019, 0.731).

Its final energy is -8.5573 eV/atom.